Record 1
A relaxed structure of K4InI5, computed with PBE.

Summary:
Its energy above the most stable polymorph in this dataset is 0.0000 eV per atom.

a = 5.0424 Å, b = 5.0424 Å, c = 35.7554 Å
α = 90.00°, β = 90.00°, γ = 90.00°
With the nearest neighbours (Å) after each atom.
Space group I4/mmm (No. 139)
Asymmetric unit:
K 0.0000 0.0000 0.0993  6 I 3.55-3.60
K 0.0000 0.0000 0.3001  6 I 3.57-3.60
In 0.0000 0.0000 0.5000  6 I 3.55-3.57
I 0.0000 0.0000 0.0000  2 K 3.55, 4 In 3.57
I 0.0000 0.0000 0.1999  6 K 3.57-3.60
I 0.0000 0.0000 0.4008  1 In 3.55, 5 K 3.57-3.60

***

Record 2
A relaxed structure of LiTaFeTc2, computed with PBE.

Summary:
The value obtained for the formation energy is 0.8866 eV per atom.

a = 4.4287 Å, b = 4.4287 Å, c = 3.9315 Å
α = 90.00°, β = 90.00°, γ = 90.00°
With the nearest neighbours (Å) after each atom.
Space group P4/mmm (No. 123)
Asymmetric unit:
Li 0.0000 0.0000 0.0000  2 Fe 1.97
Ta 0.5000 0.5000 0.0000  8 Tc 2.96, 4 Li 3.13
Fe 0.0000 0.0000 0.5000  2 Li 1.97
Tc 0.0000 0.5000 0.5000  2 Fe 2.21

***

Record 3
A relaxed structure of HgC2, computed with PBE.

Summary:
Its energy above the most stable polymorph in this dataset is 0.9829 eV per atom. The value obtained for the formation energy is 1.5204 eV per atom.

a = 3.6960 Å, b = 3.6960 Å, c = 12.7179 Å
α = 90.00°, β = 90.00°, γ = 120.00°
With the nearest neighbours (Å) after each atom.
Space group P-3m1 (No. 164)
Asymmetric unit:
Hg 0.0000 0.0000 0.0000  6 C 2.45
Hg 0.3333 0.6667 0.3561  1 C 2.07
C 0.0000 0.0000 0.4499  1 C 1.27
C 0.3333 0.6667 0.0948  1 C 1.25
C 0.3333 0.6667 0.1934  1 C 1.25

***

Record 4
A relaxed structure of NpCo4B4, computed with PBE.

Summary:
Its energy above the most stable polymorph in this dataset is 0.0000 eV per atom. The value obtained for the formation energy is -0.3399 eV per atom.

a = 5.0058 Å, b = 5.0058 Å, c = 7.0016 Å
α = 90.00°, β = 90.00°, γ = 90.00°
With the nearest neighbours (Å) after each atom.
Space group P4_2/nmc (No. 137, origin choice 2)
Asymmetric unit:
Np 0.2500 0.7500 0.2500  12 Co 2.83-2.96, 12 B 2.87-2.90
Co 0.0009 0.2500 0.1116  5 B 2.06-2.11
B 0.0761 0.2500 0.4075  1 B 1.74

***

Record 5
A relaxed structure of BePCCl2, computed with PBE.

Summary:
Its energy above the most stable polymorph in this dataset is 0.0000 eV per atom.

a = 4.2283 Å, b = 4.2283 Å, c = 4.7146 Å
α = 90.00°, β = 90.00°, γ = 90.00°
With the nearest neighbours (Å) after each atom.
Space group P4/mmm (No. 123)
Asymmetric unit:
Be 0.0000 0.0000 0.0000  4 Cl 2.11, 2 P 2.36
P 0.0000 0.0000 0.5000  2 Be 2.36
C 0.5000 0.5000 0.5000  4 P 2.99, 8 Cl 3.17
Cl 0.0000 0.5000 0.0000  2 Be 2.11

***

Record 6
A relaxed structure of Pr2Ga4NiRh3, computed with PBE.

Summary:
The value obtained for the formation energy is -0.7188 eV per atom.

a = 4.2686 Å, b = 4.2686 Å, c = 10.2431 Å
α = 90.00°, β = 90.00°, γ = 90.00°
With the nearest neighbours (Å) after each atom.
Space group P-4m2 (No. 115)
Asymmetric unit:
Pr 0.0000 0.5000 0.2423  8 Ga 3.26-3.39, 2 Ni 3.27, 6 Rh 3.27-3.28
Ga 0.0000 0.0000 0.5000  4 Rh 2.53
Ga 0.0000 0.5000 0.8770  2 Ni 2.48, 3 Rh 2.48-2.51
Ga 0.5000 0.5000 0.5000  4 Rh 2.53
Ni 0.5000 0.5000 0.0000  4 Ga 2.48
Rh 0.0000 0.0000 0.0000  4 Ga 2.48
Rh 0.0000 0.5000 0.6318  5 Ga 2.51-2.53

***

The calculation returns the following density of states at the Fermi level values, one per record and in order: 0.00; 0.84; 0.30; 1.61; 0.61; 0.61 states/eV per atom.
The calculation returns the following E_tot values, one per record and in order: -2.766; -7.706; -4.729; -7.904; -3.018; -5.669 eV per atom.